First-principles (GGA-PBE) data for Mo2Os2Pb after structural relaxation, as listed in Alexandria.

Summary:
crystal system = tetragonal
M_tot = 0.0 Bohr magnetons per cell
electronic total energy = -45.09 eV for the cell shown
DFT formation energy = 0.5481 eV/atom
excess energy over the best structure of this formula in the dataset = 0.106 eV per atom

abc: 6.530 6.530 6.530
angles: 144.04 144.04 51.77
Fractional coordinates of all 5 atoms:
Mo  0.118  0.118  0.000
Mo  0.882  0.882  0.000
Os  0.250  0.750  0.500
Os  0.750  0.250  0.500
Pb  0.500  0.500  0.000